1.
The following is a PBE-GGA calculation of a geometry-optimized Y2GeB structure, from the Alexandria database.

Total magnetic moment ... 0.00 μB per formula unit
DOS at the Fermi energy ... 10.9 states/eV/cell
Formation energy from the elements ... -0.068 eV per atom
Offset from the most stable computed form ... 0.00 kcal/mol of atoms
Calculated volume ... 20.2 A^3/atom
Total energy ... -6.124 eV per atom

Cell: 6.862 6.862 6.862 Å, 90.00 90.00 90.00°
Space group Fm-3m (No. 225)
Symmetry-distinct sites (fractional):
1 Y 0.250 0.250 0.250 x8
2 Ge 0.000 0.000 0.000 x4
3 B 0.000 0.000 0.500 x4


2.
The following is a PBE-GGA calculation of a geometry-optimized ZnGe2B2 structure, from the Alexandria database.

Total magnetic moment ... 0.00 μB per formula unit
DOS at the Fermi energy ... 4.3 states/eV/cell
Formation energy from the elements ... 0.655 eV per atom
Calculated volume ... 13.6 A^3/atom
Total energy ... -4.118 eV per atom

Cell: 5.817 5.817 4.031 Å, 90.00 90.00 90.00°
Space group P4/mbm (No. 127)
Symmetry-distinct sites (fractional):
1 Zn 0.000 0.000 0.000 x2
2 Ge 0.194 0.306 0.500 x4
3 B 0.101 0.399 0.000 x4


3.
The following is a PBE-GGA calculation of a geometry-optimized ZnGe2B structure, from the Alexandria database.

Total magnetic moment ... 0.00 μB per formula unit
DOS at the Fermi energy ... 6.9 states/eV/cell
Formation energy from the elements ... 0.919 eV per atom
Offset from the most stable computed form ... 11.81 kcal/mol of atoms
Calculated volume ... 15.3 A^3/atom
Total energy ... -3.378 eV per atom

Cell: 6.260 6.260 6.260 Å, 90.00 90.00 90.00°
Space group Fm-3m (No. 225)
Symmetry-distinct sites (fractional):
1 Zn 0.000 0.000 0.000 x4
2 Ge 0.250 0.250 0.250 x8
3 B 0.000 0.000 0.500 x4


4.
The following is a PBE-GGA calculation of a geometry-optimized ZnGe2B2 structure, from the Alexandria database.

Total magnetic moment ... 0.00 μB per formula unit
DOS at the Fermi energy ... 3.4 states/eV/cell
Formation energy from the elements ... 0.654 eV per atom
Calculated volume ... 13.3 A^3/atom
Total energy ... -4.119 eV per atom

Cell: 4.005 4.005 8.320 Å, 90.00 90.00 90.00°
Space group I4/mmm (No. 139)
Symmetry-distinct sites (fractional):
1 Zn 0.000 0.000 0.000 x2
2 Ge 0.000 0.500 0.250 x4
3 B 0.000 0.000 0.398 x4


5.
The following is a PBE-GGA calculation of a geometry-optimized Zn2GeB structure, from the Alexandria database.

Total magnetic moment ... 0.00 μB per formula unit
DOS at the Fermi energy ... 6.0 states/eV/cell
Formation energy from the elements ... 0.590 eV per atom
Offset from the most stable computed form ... 0.00 kcal/mol of atoms
Calculated volume ... 15.2 A^3/atom
Total energy ... -2.871 eV per atom

Cell: 4.070 4.070 14.705 Å, 90.00 90.00 90.00°
Space group I-42d (No. 122)
Symmetry-distinct sites (fractional):
1 Zn 0.179 0.250 0.125 x8
2 Ge 0.000 0.000 0.500 x4
3 B 0.000 0.000 0.000 x4


6.
The following is a PBE-GGA calculation of a geometry-optimized Zn2GeB structure, from the Alexandria database.

Total magnetic moment ... 0.00 μB per formula unit
DOS at the Fermi energy ... 7.7 states/eV/cell
Formation energy from the elements ... 0.872 eV per atom
Offset from the most stable computed form ... 6.51 kcal/mol of atoms
Calculated volume ... 14.7 A^3/atom
Total energy ... -2.589 eV per atom

Cell: 6.176 6.176 6.176 Å, 90.00 90.00 90.00°
Space group Fm-3m (No. 225)
Symmetry-distinct sites (fractional):
1 Zn 0.250 0.250 0.250 x8
2 Ge 0.000 0.000 0.000 x4
3 B 0.000 0.000 0.500 x4


7.
The following is a PBE-GGA calculation of a geometry-optimized ZnGe2B structure, from the Alexandria database.

Total magnetic moment ... 0.00 μB per formula unit
DOS at the Fermi energy ... 9.6 states/eV/cell
Formation energy from the elements ... 0.407 eV per atom
Offset from the most stable computed form ... 0.00 kcal/mol of atoms
Calculated volume ... 18.1 A^3/atom
Total energy ... -3.890 eV per atom

Cell: 5.558 5.558 9.397 Å, 90.00 90.00 90.00°
Space group I-42d (No. 122)
Symmetry-distinct sites (fractional):
1 Zn 0.000 0.000 0.000 x4
2 Ge 0.179 0.250 0.625 x8
3 B 0.000 0.000 0.500 x4


8.
The following is a PBE-GGA calculation of a geometry-optimized Zn3GeB structure, from the Alexandria database.

Total magnetic moment ... 0.00 μB per formula unit
DOS at the Fermi energy ... 2.4 states/eV/cell
Formation energy from the elements ... 0.472 eV per atom
Offset from the most stable computed form ... 0.00 kcal/mol of atoms
Calculated volume ... 15.5 A^3/atom
Total energy ... -2.551 eV per atom

Cell: 4.259 4.259 4.259 Å, 90.00 90.00 90.00°
Space group Pm-3m (No. 221)
Symmetry-distinct sites (fractional):
1 Zn 0.000 0.000 0.500 x3
2 Ge 0.500 0.500 0.500 x1
3 B 0.000 0.000 0.000 x1


9.
The following is a PBE-GGA calculation of a geometry-optimized ZnGeB2 structure, from the Alexandria database.

Total magnetic moment ... 0.00 μB per formula unit
DOS at the Fermi energy ... 4.2 states/eV/cell
Formation energy from the elements ... 0.953 eV per atom
Offset from the most stable computed form ... 0.00 kcal/mol of atoms
Calculated volume ... 14.6 A^3/atom
Total energy ... -3.858 eV per atom

Cell: 5.155 5.155 8.767 Å, 90.00 90.00 90.00°
Space group I-42d (No. 122)
Symmetry-distinct sites (fractional):
1 Zn 0.000 0.000 0.000 x4
2 Ge 0.000 0.000 0.500 x4
3 B 0.229 0.250 0.625 x8


10.
The following is a PBE-GGA calculation of a geometry-optimized Zn3GeB structure, from the Alexandria database.

Total magnetic moment ... 0.00 μB per formula unit
DOS at the Fermi energy ... 2.8 states/eV/cell
Formation energy from the elements ... 1.294 eV per atom
Offset from the most stable computed form ... 18.96 kcal/mol of atoms
Calculated volume ... 21.9 A^3/atom
Total energy ... -1.729 eV per atom

Cell: 4.784 4.784 4.784 Å, 90.00 90.00 90.00°
Space group Pm-3m (No. 221)
Symmetry-distinct sites (fractional):
1 Zn 0.000 0.000 0.500 x3
2 Ge 0.000 0.000 0.000 x1
3 B 0.500 0.500 0.500 x1


11.
The following is a PBE-GGA calculation of a geometry-optimized ZnGeB2 structure, from the Alexandria database.

Total magnetic moment ... 0.00 μB per formula unit
DOS at the Fermi energy ... 7.1 states/eV/cell
Formation energy from the elements ... 1.351 eV per atom
Offset from the most stable computed form ... 9.17 kcal/mol of atoms
Calculated volume ... 11.9 A^3/atom
Total energy ... -3.460 eV per atom

Cell: 5.753 5.753 5.753 Å, 90.00 90.00 90.00°
Space group Fm-3m (No. 225)
Symmetry-distinct sites (fractional):
1 Zn 0.000 0.000 0.000 x4
2 Ge 0.000 0.000 0.500 x4
3 B 0.250 0.250 0.250 x8


12.
The following is a PBE-GGA calculation of a geometry-optimized Zr2GeB structure, from the Alexandria database.

Total magnetic moment ... 0.00 μB per formula unit
DOS at the Fermi energy ... 30.7 states/eV/cell
Formation energy from the elements ... 0.049 eV per atom
Offset from the most stable computed form ... 14.49 kcal/mol of atoms
Calculated volume ... 16.9 A^3/atom
Total energy ... -7.048 eV per atom

Cell: 6.466 6.466 6.466 Å, 90.00 90.00 90.00°
Space group Fm-3m (No. 225)
Symmetry-distinct sites (fractional):
1 Zr 0.250 0.250 0.250 x8
2 Ge 0.000 0.000 0.000 x4
3 B 0.000 0.000 0.500 x4